Entry 1:
An optimized crystal structure of Dy2Al4PtAu3, computed with GGA-PBE.

Summary:
ΔH_f (0 K) ... -0.79 eV/atom

abc: 4.2995 4.2995 10.5406
angles: 90.00 90.00 90.00
Last column: nearest neighbours and their distance in Å.
Space group P-4m2 (No. 115)
One atom of each set of equivalent atoms:
Dy 0.0000 0.5000 0.2463  6 Au 3.28-3.37, 8 Al 3.29-3.43, 2 Pt 3.37
Al 0.0000 0.0000 0.5000  4 Au 2.59
Al 0.0000 0.5000 0.8724  3 Au 2.48-2.54, 2 Pt 2.54
Al 0.5000 0.5000 0.5000  4 Au 2.59
Pt 0.5000 0.5000 0.0000  4 Al 2.54
Au 0.0000 0.0000 0.0000  4 Al 2.54
Au 0.0000 0.5000 0.6375  5 Al 2.48-2.59

Entry 2:
An optimized crystal structure of DyAl3PtAu, computed with GGA-PBE.

Summary:
ΔH_f (0 K) ... -0.56 eV/atom

abc: 6.5838 12.3514 5.7867
angles: 90.00 90.00 90.00
Last column: nearest neighbours and their distance in Å.
Space group Cmcm (No. 63)
One atom of each set of equivalent atoms:
Dy 0.0000 0.2041 0.2500  1 Au 2.76, 2 Pt 3.00
Al 0.0000 0.3467 0.7500  1 Pt 2.56, 1 Au 2.79
Al 0.2034 0.0000 0.0000  2 Au 2.59, 2 Pt 2.62, 3 Al 2.68-2.89
Pt 0.0000 0.1392 0.7500  5 Al 2.56-2.62
Au 0.0000 0.4273 0.2500  5 Al 2.59-2.79, 1 Dy 2.76

Entry 3:
An optimized crystal structure of DySc2AlAu4, computed with GGA-PBE.

Summary:
ΔH_f (0 K) ... -0.74 eV/atom

abc: 4.7391 4.7391 24.6061
angles: 90.00 90.00 120.00
Last column: nearest neighbours and their distance in Å.
Space group R-3m (No. 166, hexagonal axes)
One atom of each set of equivalent atoms:
Dy 0.0000 0.0000 0.0000  8 Au 3.05-3.07
Sc 0.0000 0.0000 0.2429  7 Au 2.86-2.92
Al 0.0000 0.0000 0.5000  8 Au 2.70-2.93
Au 0.0000 0.0000 0.1241  4 Sc 2.86-2.92, 3 Al 2.93, 1 Dy 3.05, 3 Au 3.20
Au 0.0000 0.0000 0.3901  1 Al 2.70, 3 Sc 2.86

Entry 4:
An optimized crystal structure of Dy2AlSiAu6, computed with GGA-PBE.

Summary:
E_form (uncorrected) ... -487 meV per atom

abc: 5.4757 6.6547 6.7004
angles: 74.15 66.05 65.90
Last column: nearest neighbours and their distance in Å.
Space group P-1 (No. 2)
One atom of each set of equivalent atoms:
Dy 0.0049 0.2554 0.2348  7 Au 3.07-3.12, 2 Si 3.35
Al 0.5000 0.0000 0.5000  6 Au 2.50-2.69
Si 0.5000 0.5000 0.0000  6 Au 2.47-2.76
Au 0.0033 0.3095 0.6813  1 Al 2.69, 5 Au 2.73-3.00, 1 Si 2.76
Au 0.3425 0.9075 0.9106  1 Si 2.47, 1 Al 2.50
Au 0.4955 0.6879 0.3192  1 Al 2.69, 5 Au 2.73-3.00, 1 Si 2.74

Entry 5:
An optimized crystal structure of SmDy2AlAu4, computed with GGA-PBE.

Summary:
ΔH_f (0 K) ... -0.75 eV/atom

abc: 4.9574 4.9574 25.0771
angles: 90.00 90.00 120.00
Last column: nearest neighbours and their distance in Å.
Space group R-3m (No. 166, hexagonal axes)
One atom of each set of equivalent atoms:
Sm 0.0000 0.0000 0.0000  8 Au 3.06-3.18
Dy 0.0000 0.0000 0.2413  7 Au 2.96-3.01
Al 0.0000 0.0000 0.5000  8 Au 2.80-3.07
Au 0.0000 0.0000 0.1221  4 Dy 2.96-2.99, 1 Sm 3.06, 3 Al 3.07
Au 0.0000 0.0000 0.3885  1 Al 2.80, 3 Dy 3.01

Entry 6:
An optimized crystal structure of SrDyAl2Au5, computed with GGA-PBE.

Summary:
ΔH_f (0 K) ... -0.57 eV/atom

abc: 4.8170 4.8170 8.4003
angles: 90.00 90.00 90.00
Last column: nearest neighbours and their distance in Å.
Space group P4/mmm (No. 123)
One atom of each set of equivalent atoms:
Sr 0.0000 0.0000 0.0000  12 Au 3.22-3.41
Dy 0.0000 0.0000 0.5000  8 Au 3.18
Al 0.5000 0.5000 0.3437  4 Au 2.52, 1 Al 2.63
Au 0.0000 0.5000 0.2536  2 Al 2.52
Au 0.5000 0.5000 0.0000  2 Al 2.89, 8 Au 3.22

Entry 7:
An optimized crystal structure of TbDyAlAu, computed with GGA-PBE.

Summary:
Offset from the most stable computed form ... 0.000 eV per atom
ΔH_f (0 K) ... -0.61 eV/atom

abc: 3.5631 3.5631 7.4766
angles: 90.00 90.00 90.00
Last column: nearest neighbours and their distance in Å.
Space group P4mm (No. 99)
One atom of each set of equivalent atoms:
Tb 0.0000 0.0000 0.0000  4 Au 3.13, 4 Al 3.17
Dy 0.0000 0.0000 0.4872  4 Au 3.09, 4 Al 3.16
Al 0.5000 0.5000 0.7424  4 Dy 3.16, 4 Tb 3.17
Au 0.5000 0.5000 0.2486  4 Dy 3.09, 4 Tb 3.13

Entry 8:
An optimized crystal structure of TbDyAlAu, computed with GGA-PBE.

Summary:
Offset from the most stable computed form ... 0.053 eV per atom
ΔH_f (0 K) ... -0.56 eV/atom

abc: 7.2754 7.2754 7.2754
angles: 90.00 90.00 90.00
Last column: nearest neighbours and their distance in Å.
Space group F-43m (No. 216)
One atom of each set of equivalent atoms:
Tb 0.0000 0.0000 0.0000  4 Al 3.15, 4 Au 3.15
Dy 0.0000 0.0000 0.5000  4 Al 3.15, 4 Au 3.15
Al 0.2500 0.2500 0.2500  4 Tb 3.15, 4 Dy 3.15
Au 0.2500 0.2500 0.7500  4 Tb 3.15, 4 Dy 3.15

Entry 9:
An optimized crystal structure of TbDy2AlAu4, computed with GGA-PBE.

Summary:
ΔH_f (0 K) ... -0.76 eV/atom

abc: 4.9539 4.9539 24.6491
angles: 90.00 90.00 120.00
Last column: nearest neighbours and their distance in Å.
Space group R-3m (No. 166, hexagonal axes)
One atom of each set of equivalent atoms:
Tb 0.0000 0.0000 0.0000  8 Au 3.00-3.10
Dy 0.0000 0.0000 0.2428  7 Au 2.96-3.04
Al 0.0000 0.0000 0.5000  8 Au 2.90-3.07
Au 0.0000 0.0000 0.1217  4 Dy 2.96-2.99, 1 Tb 3.00, 3 Al 3.07
Au 0.0000 0.0000 0.3821  1 Al 2.90, 3 Dy 3.04, 3 Tb 3.10

Entry 10:
An optimized crystal structure of DyThAl2Au2, computed with GGA-PBE.

Summary:
ΔH_f (0 K) ... -0.68 eV/atom

abc: 4.5347 4.5347 7.5254
angles: 90.00 90.00 120.00
Last column: nearest neighbours and their distance in Å.
Space group P-3m1 (No. 164)
One atom of each set of equivalent atoms:
Dy 0.0000 0.0000 0.0000  6 Au 3.14, 6 Al 3.16
Th 0.0000 0.0000 0.5000  6 Al 3.29, 6 Au 3.31
Al 0.3333 0.6667 0.2348  3 Au 2.62
Au 0.3333 0.6667 0.7685  3 Al 2.62

Entry 11:
An optimized crystal structure of DyThAlAu, computed with GGA-PBE.

Summary:
ΔH_f (0 K) ... -0.42 eV/atom

abc: 7.3844 7.3844 7.3844
angles: 90.00 90.00 90.00
Last column: nearest neighbours and their distance in Å.
Space group F-43m (No. 216)
One atom of each set of equivalent atoms:
Dy 0.0000 0.0000 0.0000  4 Au 3.20, 4 Al 3.20
Th 0.0000 0.0000 0.5000  4 Al 3.20, 4 Au 3.20
Al 0.2500 0.2500 0.2500  4 Dy 3.20, 4 Th 3.20
Au 0.2500 0.2500 0.7500  4 Th 3.20, 4 Dy 3.20

Entry 12:
An optimized crystal structure of Dy2TiAl4Au3, computed with GGA-PBE.

Summary:
ΔH_f (0 K) ... -0.60 eV/atom

abc: 4.1953 4.1953 11.2859
angles: 90.00 90.00 90.00
Last column: nearest neighbours and their distance in Å.
Space group P-4m2 (No. 115)
One atom of each set of equivalent atoms:
Dy 0.0000 0.5000 0.2480  8 Al 3.19-3.53, 6 Au 3.25-3.50, 2 Ti 3.50
Ti 0.5000 0.5000 0.0000  4 Al 2.65, 4 Au 2.97
Al 0.0000 0.0000 0.5000  4 Au 2.59
Al 0.0000 0.5000 0.8562  3 Au 2.50-2.65, 2 Ti 2.65
Al 0.5000 0.5000 0.5000  4 Au 2.59
Au 0.0000 0.0000 0.0000  4 Al 2.65, 4 Ti 2.97
Au 0.0000 0.5000 0.6348  5 Al 2.50-2.59

Number 1: total DFT energy (no corrections) -4.80 eV per atom. Number 2: total DFT energy (no corrections) -4.75 eV per atom. Number 3: total DFT energy (no corrections) -5.01 eV per atom. Number 4: total DFT energy (no corrections) -4.29 eV per atom. Number 5: total DFT energy (no corrections) -4.59 eV per atom. Number 6: total DFT energy (no corrections) -3.92 eV per atom. Number 7: total DFT energy (no corrections) -4.68 eV per atom. Number 8: total DFT energy (no corrections) -4.62 eV per atom. Number 9: total DFT energy (no corrections) -4.60 eV per atom. Number 10: total DFT energy (no corrections) -5.03 eV per atom. Number 11: total DFT energy (no corrections) -5.18 eV per atom. Number 12: total DFT energy (no corrections) -4.79 eV per atom.